First-principles (meta-GGA SCAN) data for ScReTe2 at its PBEsol-relaxed geometry, as listed in the Alexandria database.

Properties
As for the offset from the most stable computed form: 0.030 eV/atom. As for the formation energy from raw total energies: -69 meV per atom.

```
data_ScReTe2
_cell_length_a 3.467
_cell_length_b 4.596
_cell_length_c 5.107
_cell_angle_alpha 90.00
_cell_angle_beta 90.00
_cell_angle_gamma 90.00
_symmetry_space_group_name_H-M 'P 1'
_symmetry_Int_Tables_number 1
loop_
_symmetry_equiv_pos_as_xyz
'x,y,z'
loop_
_atom_site_label
_atom_site_type_symbol
_atom_site_fract_x
_atom_site_fract_y
_atom_site_fract_z
Te1 Te 0.500 0.981 0.000
Te2 Te 0.000 0.274 0.500
Re1 Re 0.000 0.494 0.000
Sc1 Sc 0.500 0.750 0.500
```

***

First-principles (meta-GGA SCAN) data for ScTlRe at its PBEsol-relaxed geometry, as listed in the Alexandria database.

```
data_ScTlRe
_cell_length_a 4.510
_cell_length_b 4.510
_cell_length_c 4.510
_cell_angle_alpha 60.00
_cell_angle_beta 60.00
_cell_angle_gamma 60.00
_symmetry_space_group_name_H-M 'P 1'
_symmetry_Int_Tables_number 1
loop_
_symmetry_equiv_pos_as_xyz
'x,y,z'
loop_
_atom_site_label
_atom_site_type_symbol
_atom_site_fract_x
_atom_site_fract_y
_atom_site_fract_z
Sc1 Sc 0.500 0.500 0.500
Re1 Re 0.000 0.000 0.000
Tl1 Tl 0.250 0.250 0.250
```

***

First-principles (meta-GGA SCAN) data for ScTl2Re at its PBEsol-relaxed geometry, as listed in the Alexandria database.

Properties
As for the offset from the most stable computed form: 0.099 eV/atom.

```
data_ScTl2Re
_cell_length_a 4.177
_cell_length_b 4.177
_cell_length_c 5.334
_cell_angle_alpha 113.06
_cell_angle_beta 113.06
_cell_angle_gamma 90.00
_symmetry_space_group_name_H-M 'P 1'
_symmetry_Int_Tables_number 1
loop_
_symmetry_equiv_pos_as_xyz
'x,y,z'
loop_
_atom_site_label
_atom_site_type_symbol
_atom_site_fract_x
_atom_site_fract_y
_atom_site_fract_z
Tl1 Tl 0.750 0.250 0.500
Tl2 Tl 0.000 0.000 0.000
Sc1 Sc 0.250 0.750 0.500
Re1 Re 0.500 0.500 0.000
```

***

In order of appearance, E = -40.028 -51.781 -57.085 eV/atom.
In order of appearance, M_tot = 0.0 0.2 0.0 μB/cell.